# Pr3InHg2

A relaxed Pr3InHg2 crystal (PBE-GGA, Alexandria).

Output
**Energy of formation**: -0.47 eV/atom
**Calculated total energy**: -20.51 eV/f.u.
**M_tot**: 0.164 μB per atom
**SG**: P4/mmm
**Mass density**: 8.898 Mg/m³
**Excess energy over the best structure of this formula in the dataset**: 0.000 eV per atom

Unit cell a=3.836 b=3.836 c=11.907 alpha=90.00 beta=90.00 gamma=90.00
Element x y z (fractional)
1 Pr 0.000 0.000 0.000
2 Pr 0.000 0.000 0.329
3 Pr 0.000 0.000 0.671
4 In 0.500 0.500 0.500
5 Hg 0.500 0.500 0.164
6 Hg 0.500 0.500 0.836

# Zn2TcSe

A relaxed Zn2TcSe crystal (PBE-GGA, Alexandria).

Output
**Calculated total energy**: -15.34 eV/f.u.
**M_tot**: 0.000 μB per atom
**SG**: Cmmm
**Mass density**: 7.622 Mg/m³
**Excess energy over the best structure of this formula in the dataset**: 0.238 eV per atom

Unit cell a=3.355 b=4.380 c=9.125 alpha=90.00 beta=90.00 gamma=90.00
Element x y z (fractional)
1 Zn 0.000 0.000 0.218
2 Zn 0.000 0.000 0.782
3 Zn 0.500 0.500 0.218
4 Zn 0.500 0.500 0.782
5 Tc 0.000 0.500 0.000
6 Tc 0.500 0.000 0.000
7 Se 0.000 0.500 0.500
8 Se 0.500 0.000 0.500

# CuI2O2

A relaxed CuI2O2 crystal (PBE-GGA, Alexandria).

Output
**Calculated total energy**: -16.48 eV/f.u.
**M_tot**: 0.000 μB per atom
**SG**: P4/mmm
**Mass density**: 4.295 Mg/m³
**Excess energy over the best structure of this formula in the dataset**: 0.000 eV per atom

Unit cell a=4.009 b=4.009 c=8.405 alpha=90.00 beta=90.00 gamma=90.00
Element x y z (fractional)
1 Cu 0.000 0.000 0.000
2 I 0.500 0.500 0.000
3 I 0.500 0.500 0.500
4 O 0.000 0.500 0.500
5 O 0.500 0.000 0.500